Entry 1:
First-principles (PBE) data for a relaxed K2TaRe crystal, as listed in the Alexandria database.

## Properties
The calculation puts the total magnetization at 0.0 μB/f.u. The value obtained for the formation energy from the elements is 1.382 eV per atom. The volume is 22.54 Å³/atom. The value obtained for the excess energy over the best structure of this formula in the dataset is 64.6 kJ per mole of atoms.

Lattice parameters (Å, degrees): 2.794 2.794 12.602 90.00 90.00 113.57
Fractional positions:
1 Re 0.500 0.500 0.250
2 K 0.000 0.000 0.484
3 K 0.000 0.000 0.016
4 Ta 0.500 0.500 0.750


Entry 2:
First-principles (PBE) data for a relaxed Sr2AgF crystal, as listed in the Alexandria database.

## Properties
The calculation puts the total magnetization at 0.0 μB/f.u. The volume is 29.83 Å³/atom. The value obtained for the excess energy over the best structure of this formula in the dataset is 0.0 kJ per mole of atoms.

Lattice parameters (Å, degrees): 7.381 7.381 6.813 57.20 57.20 90.00
Fractional positions:
1 Sr 0.553 0.125 0.250
2 Sr 0.875 0.803 0.750
3 Sr 0.197 0.625 0.250
4 Sr 0.375 0.447 0.750
5 F 0.500 0.500 0.000
6 F 0.250 0.750 0.500
7 Ag 0.000 0.000 0.000
8 Ag 0.750 0.250 0.500